Entry from Alexandria via LeMat-Bulk: Pr3ErTm3Te8 after structural relaxation (PBE-GGA).

Computed properties:
ΔE_f (raw) = -1.371 eV/atom
Calculated volume = 32.09 A^3/atom
DOS at the Fermi energy = 0.458 states/eV per atom
Mass density = 7.30 Mg/m³
SG = R-3m, No. 166

Cell: 8.747 8.748 8.847 Å, 119.63 90.00 120.00°
Sites, in units of the cell vectors:
Te (0.737, 0.988, 0.739)
Te (0.251, 0.502, 0.739)
Te (0.251, 0.988, 0.739)
Te (0.256, 0.512, 0.268)
Te (0.744, 0.488, 0.732)
Te (0.749, 0.012, 0.261)
Te (0.263, 0.012, 0.261)
Te (0.749, 0.498, 0.261)
Er (0.000, 0.000, 0.500)
Tm (0.000, 0.500, 0.500)
Tm (0.500, 0.000, 0.500)
Tm (0.500, 0.500, 0.500)
Pr (0.000, 0.500, 0.000)
Pr (0.500, 0.500, 0.000)
Pr (0.000, 0.000, 0.000)